The following is a GGA-PBE calculation of a geometry-optimized PuNiTe2 structure, from the Alexandria database.

Calculated values
DFT total energy	-6.6457	eV per atom
formation energy from raw total energies	-46.6	meV/atom

The structure in POSCAR format:
```
PuNiTe2
1.0
3.686 0.000 0.000
1.843 3.193 0.000
1.843 1.064 9.213
Ni Te Pu
1 2 1
Direct
0.500 0.500 0.500
0.113 0.113 0.660
0.887 0.887 0.340
0.000 0.000 0.000
```

The following is a GGA-PBE calculation of a geometry-optimized CdPd2Au5 structure, from the Alexandria database.

Calculated values
ΔE_f	-166	meV/atom
DFT total energy	-3.6266	eV per atom

The structure in POSCAR format:
```
CdPd2Au5
1.0
4.129 0.000 0.000
0.000 5.828 0.000
0.000 0.000 11.654
Cd Pd Au
2 4 10
Direct
0.000 0.000 0.500
0.000 0.500 0.000
0.500 0.245 0.624
0.500 0.755 0.376
0.500 0.255 0.124
0.500 0.745 0.876
0.000 0.000 0.000
0.000 0.500 0.500
0.000 0.493 0.750
0.000 0.507 0.250
0.000 0.007 0.250
0.000 0.993 0.750
0.500 0.243 0.874
0.500 0.757 0.126
0.500 0.257 0.374
0.500 0.743 0.626
```

The following is a GGA-PBE calculation of a geometry-optimized Tl2RuSe2O6 structure, from the Alexandria database.

Calculated values
DFT total energy	-5.2332	eV per atom
formation energy from raw total energies	-621.7	meV/atom

The structure in POSCAR format:
```
Tl2RuSe2O6
1.0
5.783 0.000 0.000
-2.891 4.387 0.155
0.000 -2.284 7.366
Tl Ru Se O
2 1 2 6
Direct
0.713 0.425 0.145
0.287 0.575 0.855
0.500 0.000 0.500
0.881 0.762 0.690
0.119 0.238 0.310
0.738 0.475 0.487
0.224 0.974 0.307
0.250 0.026 0.693
0.776 0.026 0.693
0.750 0.974 0.307
0.262 0.525 0.513
```

The following is a GGA-PBE calculation of a geometry-optimized Y2CoRu structure, from the Alexandria database.

Calculated values
ΔE_f	68	meV/atom
DFT total energy	-7.2598	eV per atom

The structure in POSCAR format:
```
Y2CoRu
1.0
-3.163 -0.737 0.634
0.881 -1.262 2.929
-0.975 7.055 3.333
Co Ru Y
1 1 2
Direct
0.000 0.000 0.564
0.500 0.500 0.684
0.000 0.000 0.929
0.500 0.500 0.323
```